No. 1
# Sc3P

Crystalline Sc3P at its relaxed geometry (PBE, Alexandria).

The value obtained for the calculated volume is 20.49 A^3/atom. For the total energy, the calculation gives -6.91 eV/atom. The calculation puts the energy above the most stable polymorph in this dataset at 0.001 eV per atom. As for the crystal system: orthorhombic. The calculation puts the formation energy from the elements at -0.808 eV/atom. As for the density of states at the Fermi level: 15.49 states/eV/cell.

The space group is Cmcm (No. 63) and the conventional cell measures 3.668, 10.856 and 8.233 Å, with angles of 90.00, 90.00 and 90.00 degrees. The inequivalent atoms are Sc at (0.000, 0.070, 0.250), Sc at (0.000, 0.358, 0.055) and P at (0.000, 0.245, 0.750).

***

No. 2
# Sc2P

Crystalline Sc2P at its relaxed geometry (PBE, Alexandria).

The value obtained for the calculated volume is 22.53 A^3/atom. For the total energy, the calculation gives -5.95 eV/atom. As for the crystal system: hexagonal. The calculation puts the formation energy from the elements at 0.072 eV/atom. As for the density of states at the Fermi level: 11.95 states/eV/cell.

The space group is P6_3/mmc (No. 194) and the conventional cell measures 5.3470, 5.3470 and 10.9200 Å, with angles of 90.00, 90.00 and 120.00 degrees. The inequivalent atoms are Sc at (0.0000, 0.0000, 0.0000), Sc at (0.1658, 0.3317, 0.2500) and P at (0.3333, 0.6667, 0.6441).

***

No. 3
# Sc5P4

Crystalline Sc5P4 at its relaxed geometry (PBE, Alexandria).

The value obtained for the calculated volume is 17.48 A^3/atom. For the total energy, the calculation gives -7.14 eV/atom. The calculation puts the energy above the most stable polymorph in this dataset at 0.000 eV per atom. As for the crystal system: hexagonal. The calculation puts the formation energy from the elements at -1.215 eV/atom. As for the density of states at the Fermi level: 14.85 states/eV/cell.

The space group is P6_3/mcm (No. 193) and the conventional cell measures 7.9180, 7.9180 and 5.7951 Å, with angles of 90.00, 90.00 and 120.00 degrees. The inequivalent atoms are Sc at (0.0000, 0.2621, 0.2500), Sc at (0.3333, 0.6667, 0.0000), P at (0.0000, 0.0000, 0.0000) and P at (0.0000, 0.3978, 0.7500).

***

No. 4
# Sc8P

Crystalline Sc8P at its relaxed geometry (PBE, Alexandria).

The value obtained for the calculated volume is 22.07 A^3/atom. For the total energy, the calculation gives -6.38 eV/atom. As for the crystal system: tetragonal. The calculation puts the formation energy from the elements at -0.156 eV/atom. As for the density of states at the Fermi level: 34.33 states/eV/cell.

The space group is I4/mmm (No. 139) and the conventional cell measures 9.790, 9.790 and 4.146 Å, with angles of 90.00, 90.00 and 90.00 degrees. The inequivalent atoms are Sc at (0.000, 0.333, 0.000), Sc at (0.156, 0.156, 0.500) and P at (0.000, 0.000, 0.000).

***

No. 5
# ScP3

Crystalline ScP3 at its relaxed geometry (PBE, Alexandria).

The value obtained for the calculated volume is 17.69 A^3/atom. For the total energy, the calculation gives -6.14 eV/atom. As for the crystal system: orthorhombic. The calculation puts the formation energy from the elements at -0.500 eV/atom. As for the density of states at the Fermi level: 3.11 states/eV/cell.

The space group is Imm2 (No. 44) and the conventional cell measures 3.433, 8.183 and 5.039 Å, with angles of 90.00, 90.00 and 90.00 degrees. The inequivalent atoms are Sc at (0.000, 0.000, 0.000), P at (0.000, 0.301, 0.233) and P at (0.000, 0.500, 0.954).

***

No. 6
# Sc3P2

Crystalline Sc3P2 at its relaxed geometry (PBE, Alexandria).

The value obtained for the calculated volume is 19.00 A^3/atom. For the total energy, the calculation gives -7.22 eV/atom. The calculation puts the energy above the most stable polymorph in this dataset at 0.022 eV per atom. As for the crystal system: orthorhombic. The calculation puts the formation energy from the elements at -1.260 eV/atom. As for the density of states at the Fermi level: 22.43 states/eV/cell.

The space group is Pnma (No. 62) and the conventional cell measures 10.157, 3.721 and 10.054 Å, with angles of 90.00, 90.00 and 90.00 degrees. The inequivalent atoms are Sc at (0.047, 0.250, 0.132), Sc at (0.125, 0.750, 0.563), Sc at (0.223, 0.250, 0.801), P at (0.011, 0.750, 0.319) and P at (0.186, 0.750, 0.997).

***

No. 7
# Sc2P

Crystalline Sc2P at its relaxed geometry (PBE, Alexandria).

The value obtained for the calculated volume is 21.12 A^3/atom. For the total energy, the calculation gives -6.66 eV/atom. As for the crystal system: tetragonal. The calculation puts the formation energy from the elements at -0.635 eV/atom. As for the density of states at the Fermi level: 11.49 states/eV/cell.

The space group is I4_1/amd (No. 141, origin choice 2) and the conventional cell measures 3.278, 3.278 and 23.591 Å, with angles of 90.00, 90.00 and 90.00 degrees. The inequivalent atoms are Sc at (0.000, 0.250, 0.313) and P at (0.000, 0.250, 0.875).

***

No. 8
# Sc4P

Crystalline Sc4P at its relaxed geometry (PBE, Alexandria).

The value obtained for the calculated volume is 24.69 A^3/atom. For the total energy, the calculation gives -6.53 eV/atom. The calculation puts the energy above the most stable polymorph in this dataset at 0.091 eV per atom. As for the crystal system: cubic. The calculation puts the formation energy from the elements at -0.384 eV/atom. As for the density of states at the Fermi level: 7.72 states/eV/cell.

The space group is Pm-3m (No. 221) and the conventional cell measures 4.979, 4.979 and 4.979 Å, with angles of 90.00, 90.00 and 90.00 degrees. The inequivalent atoms are Sc at (0.000, 0.000, 0.000), Sc at (0.000, 0.500, 0.500) and P at (0.500, 0.500, 0.500).

***

No. 9
# ScP2

Crystalline ScP2 at its relaxed geometry (PBE, Alexandria).

The value obtained for the calculated volume is 18.00 A^3/atom. For the total energy, the calculation gives -6.43 eV/atom. As for the crystal system: tetragonal. The calculation puts the formation energy from the elements at -0.710 eV/atom. As for the density of states at the Fermi level: 1.54 states/eV/cell.

The space group is P4/mmm (No. 123) and the conventional cell measures 3.714, 3.714 and 3.914 Å, with angles of 90.00, 90.00 and 90.00 degrees. The inequivalent atoms are Sc at (0.000, 0.000, 0.000) and P at (0.000, 0.500, 0.500).

***

No. 10
# Sc4P5

Crystalline Sc4P5 at its relaxed geometry (PBE, Alexandria).

The value obtained for the calculated volume is 17.07 A^3/atom. For the total energy, the calculation gives -6.82 eV/atom. The calculation puts the energy above the most stable polymorph in this dataset at 0.000 eV per atom. As for the crystal system: hexagonal. The calculation puts the formation energy from the elements at -1.001 eV/atom. As for the density of states at the Fermi level: 8.05 states/eV/cell.

The space group is P6_3/mcm (No. 193) and the conventional cell measures 8.1277, 8.1277 and 5.3717 Å, with angles of 90.00, 90.00 and 120.00 degrees. The inequivalent atoms are Sc at (0.0000, 0.0000, 0.0000), Sc at (0.0000, 0.3819, 0.2500), P at (0.0000, 0.2748, 0.7500) and P at (0.3333, 0.6667, 0.0000).

***

No. 11
# Sc4P3

Crystalline Sc4P3 at its relaxed geometry (PBE, Alexandria).

The value obtained for the calculated volume is 20.17 A^3/atom. For the total energy, the calculation gives -7.20 eV/atom. The calculation puts the energy above the most stable polymorph in this dataset at 0.000 eV per atom. As for the crystal system: trigonal. The calculation puts the formation energy from the elements at -1.268 eV/atom. As for the density of states at the Fermi level: 6.24 states/eV/cell.

The space group is R-3m (No. 166, hexagonal axes) and the conventional cell measures 3.7565, 3.7565 and 34.6678 Å, with angles of 90.00, 90.00 and 120.00 degrees. The inequivalent atoms are Sc at (0.0000, 0.0000, 0.1242), Sc at (0.0000, 0.0000, 0.3728), P at (0.0000, 0.0000, 0.2548) and P at (0.0000, 0.0000, 0.5000).

***

No. 12
# ScP3

Crystalline ScP3 at its relaxed geometry (PBE, Alexandria).

The value obtained for the calculated volume is 30.23 A^3/atom. For the total energy, the calculation gives -4.99 eV/atom. As for the crystal system: cubic. The calculation puts the formation energy from the elements at 0.650 eV/atom. As for the density of states at the Fermi level: 3.58 states/eV/cell.

The space group is Pm-3m (No. 221) and the conventional cell measures 4.945, 4.945 and 4.945 Å, with angles of 90.00, 90.00 and 90.00 degrees. The inequivalent atoms are Sc at (0.000, 0.000, 0.000) and P at (0.000, 0.000, 0.500).

***

No. 13
# ScP2Se

Crystalline ScP2Se at its relaxed geometry (PBE, Alexandria).

Its uncorrected formation energy is -706 meV per atom. The value obtained for the calculated volume is 22.91 A^3/atom. For the total energy, the calculation gives -5.87 eV/atom. As for the crystal system: orthorhombic. As for the density of states at the Fermi level: 3.62 states/eV/cell.

The space group is Cmmm (No. 65) and the conventional cell measures 3.484, 13.388 and 3.929 Å, with angles of 90.00, 90.00 and 90.00 degrees. The inequivalent atoms are Sc at (0.000, 0.000, 0.000), P at (0.000, 0.202, 0.000) and Se at (0.000, 0.500, 0.500).